{
  "formula": "UNi9Sb2",
  "functional": "PBE",
  "state": "optimized geometry",
  "lattice_angstrom": [[-2.097, -3.792, 2.183], [1.394, -1.307, 4.460], [-5.859, 3.258, 5.424]],
  "species": ["U", "Ni", "Ni", "Ni", "Ni", "Ni", "Ni", "Ni", "Ni", "Ni", "Sb", "Sb"],
  "fractional_positions": [[0.000, 0.000, 0.000], [0.667, 0.667, 0.000], [0.333, 0.333, 0.000], [0.500, 0.500, 0.500], [0.417, 0.417, 0.246], [0.919, 0.417, 0.246], [0.417, 0.919, 0.246], [0.583, 0.583, 0.754], [0.583, 0.081, 0.754], [0.081, 0.583, 0.754], [0.868, 0.868, 0.395], [0.132, 0.132, 0.605]],
  "crystal_system": "trigonal",
  "final_energy_ev_per_atom": -6.09,
  "space_group": "R-3m (166)"
}


{
  "formula": "UNiSb",
  "functional": "PBE",
  "state": "optimized geometry",
  "lattice_angstrom": [[-1.363, 4.143, -0.558], [-3.198, -1.474, -3.139], [-3.407, -0.419, 5.212]],
  "species": ["U", "U", "Ni", "Ni", "Sb", "Sb"],
  "fractional_positions": [[0.861, 0.700, 0.911], [0.861, 0.313, 0.584], [0.861, 0.237, 0.167], [0.861, 0.776, 0.327], [0.361, 0.785, 0.524], [0.361, 0.228, 0.971]],
  "crystal_system": "monoclinic",
  "final_energy_ev_per_atom": -7.17,
  "space_group": "P2/m (10)"
}


{
  "formula": "U3Ni3Sb4",
  "functional": "PBE",
  "state": "optimized geometry",
  "lattice_angstrom": [[-4.779, 2.741, -5.987], [-2.463, -7.420, 2.255], [-0.450, 5.056, 6.359]],
  "species": ["U", "U", "U", "U", "U", "U", "Ni", "Ni", "Ni", "Ni", "Ni", "Ni", "Sb", "Sb", "Sb", "Sb", "Sb", "Sb", "Sb", "Sb"],
  "fractional_positions": [[0.875, 0.250, 0.125], [0.625, 0.750, 0.375], [0.250, 0.125, 0.875], [0.750, 0.375, 0.625], [0.125, 0.875, 0.250], [0.375, 0.625, 0.750], [0.375, 0.250, 0.625], [0.125, 0.750, 0.875], [0.250, 0.625, 0.375], [0.750, 0.875, 0.125], [0.625, 0.375, 0.250], [0.875, 0.125, 0.750], [0.666, 0.500, 0.000], [0.500, 0.000, 0.666], [0.000, 0.666, 0.500], [0.834, 0.834, 0.834], [0.500, 0.000, 0.166], [0.166, 0.500, 0.000], [0.000, 0.166, 0.500], [0.334, 0.334, 0.334]],
  "crystal_system": "cubic",
  "final_energy_ev_per_atom": -7.21,
  "space_group": "I-43d (220)"
}